Arrangement one

The following is a PBE with a Hubbard U calculation of a relaxed Cr3O crystal, from the Alexandria database.

Unit cell a=5.2071 b=5.2071 c=5.2071 alpha=90.00 beta=90.00 gamma=90.00
Last column: nearest neighbours and their distance in Å.
Fractional coordinates of all 8 atoms:
Cr: 0.0000 0.2500 0.5000  2 Cr 2.60, 4 O 2.91
Cr: 0.0000 0.7500 0.5000  2 Cr 2.60, 4 O 2.91
Cr: 0.2500 0.5000 0.0000  2 Cr 2.60, 4 O 2.91
Cr: 0.5000 0.0000 0.2500  2 Cr 2.60, 4 O 2.91
Cr: 0.5000 0.0000 0.7500  2 Cr 2.60, 4 O 2.91
Cr: 0.7500 0.5000 0.0000  2 Cr 2.60, 4 O 2.91
O: 0.0000 0.0000 0.0000  12 Cr 2.91
O: 0.5000 0.5000 0.5000  12 Cr 2.91

* D(E_F): 1.59 states/eV/f.u.

---

Arrangement two

The following is a PBE with a Hubbard U calculation of a relaxed Cr3O crystal, from the Alexandria database.

Unit cell a=6.0640 b=6.0640 c=6.0640 alpha=54.54 beta=54.54 gamma=54.54
Last column: nearest neighbours and their distance in Å.
Fractional coordinates of all 8 atoms:
Cr: 0.1150 0.7500 0.3850  2 O 2.19
Cr: 0.2500 0.6150 0.8850  2 O 2.19
Cr: 0.3850 0.1150 0.7500  2 O 2.19
Cr: 0.6150 0.8850 0.2500  2 O 2.19
Cr: 0.7500 0.3850 0.1150  2 O 2.19
Cr: 0.8850 0.2500 0.6150  2 O 2.19
O: 0.0000 0.0000 0.0000  6 Cr 2.19
O: 0.5000 0.5000 0.5000  6 Cr 2.19

* D(E_F): 2.25 states/eV/f.u.

---

Most stable: arrangement two

---

Arrangement one

The following is a PBE with a Hubbard U calculation of a relaxed Cr2O5 crystal, from the Alexandria database.

Unit cell a=3.7169 b=10.7678 c=5.2589 alpha=90.00 beta=90.00 gamma=90.00
Last column: nearest neighbours and their distance in Å.
Fractional coordinates of all 14 atoms:
Cr: 0.2500 0.0954 0.1098  1 O 1.58
Cr: 0.2500 0.4046 0.1098  1 O 1.58
Cr: 0.7500 0.5954 0.8902  1 O 1.58
Cr: 0.7500 0.9046 0.8902  1 O 1.58
O: 0.2500 0.0970 0.4106  1 Cr 1.58
O: 0.2500 0.2500 0.9782  2 Cr 1.80
O: 0.2500 0.4030 0.4106  1 Cr 1.58
O: 0.2500 0.5688 0.9753  3 Cr 1.90-1.93
O: 0.2500 0.9312 0.9753  3 Cr 1.90-1.93
O: 0.7500 0.0688 0.0247  3 Cr 1.90-1.93
O: 0.7500 0.4312 0.0247  3 Cr 1.90-1.93
O: 0.7500 0.5970 0.5894  1 Cr 1.58
O: 0.7500 0.7500 0.0218  2 Cr 1.80
O: 0.7500 0.9030 0.5894  1 Cr 1.58

---

Arrangement two

The following is a PBE with a Hubbard U calculation of a relaxed Cr2O5 crystal, from the Alexandria database.

Unit cell a=4.9628 b=8.9040 c=9.3078 alpha=90.00 beta=90.00 gamma=90.00
Last column: nearest neighbours and their distance in Å.
Fractional coordinates of all 28 atoms:
Cr: 0.1077 0.0298 0.2811  4 O 1.66-1.67
Cr: 0.1169 0.6593 0.9076  4 O 1.79-2.00
Cr: 0.3831 0.3407 0.4076  4 O 1.79-2.00
Cr: 0.3923 0.9702 0.7811  4 O 1.66-1.67
Cr: 0.6077 0.4702 0.7189  4 O 1.66-1.67
Cr: 0.6169 0.8407 0.0924  4 O 1.79-2.00
Cr: 0.8831 0.1593 0.5924  4 O 1.79-2.00
Cr: 0.8923 0.5298 0.2189  4 O 1.66-1.67
O: 0.0366 0.0111 0.4561  1 Cr 1.67
O: 0.0837 0.3113 0.5258  2 Cr 1.79-1.87
O: 0.1645 0.0985 0.7347  1 Cr 1.66
O: 0.1704 0.5094 0.3173  1 Cr 1.67
O: 0.2227 0.2041 0.2580  1 Cr 1.67
O: 0.2773 0.7959 0.7580  1 Cr 1.67
O: 0.3296 0.4906 0.8173  1 Cr 1.67
O: 0.3355 0.9015 0.2347  1 Cr 1.66
O: 0.4163 0.6887 0.0258  2 Cr 1.79-1.87
O: 0.4634 0.9889 0.9561  1 Cr 1.67
O: 0.5366 0.4889 0.5439  1 Cr 1.67
O: 0.5837 0.1887 0.4742  2 Cr 1.79-1.87
O: 0.6645 0.4015 0.2653  1 Cr 1.66
O: 0.6704 0.9906 0.6827  1 Cr 1.67
O: 0.7227 0.2959 0.7420  1 Cr 1.67
O: 0.7773 0.7041 0.2420  1 Cr 1.67
O: 0.8296 0.0094 0.1827  1 Cr 1.67
O: 0.8355 0.5985 0.7653  1 Cr 1.66
O: 0.9163 0.8113 0.9742  2 Cr 1.79-1.87
O: 0.9634 0.5111 0.0439  1 Cr 1.67

---

Most stable: arrangement two

---

Arrangement one

The following is a PBE with a Hubbard U calculation of a relaxed Cr2O5 crystal, from the Alexandria database.

Unit cell a=6.5276 b=6.5276 c=10.7449 alpha=90.00 beta=90.00 gamma=146.95
Last column: nearest neighbours and their distance in Å.
Fractional coordinates of all 14 atoms:
Cr: 0.2033 0.7967 0.5952  1 O 1.58
Cr: 0.2033 0.7967 0.9048  1 O 1.58
Cr: 0.7967 0.2033 0.0952  1 O 1.58
Cr: 0.7967 0.2033 0.4048  1 O 1.58
O: 0.0771 0.9229 0.5962  1 Cr 1.58
O: 0.0771 0.9229 0.9038  1 Cr 1.58
O: 0.2590 0.7410 0.7500  2 Cr 1.80
O: 0.2607 0.7393 0.0689  3 Cr 1.90-1.93
O: 0.2607 0.7393 0.4311  3 Cr 1.90-1.93
O: 0.7393 0.2607 0.5689  3 Cr 1.90-1.93
O: 0.7393 0.2607 0.9311  3 Cr 1.90-1.93
O: 0.7410 0.2590 0.2500  2 Cr 1.80
O: 0.9229 0.0771 0.0962  1 Cr 1.58
O: 0.9229 0.0771 0.4038  1 Cr 1.58

---

Arrangement two

The following is a PBE with a Hubbard U calculation of a relaxed Cr2O5 crystal, from the Alexandria database.

Unit cell a=7.1123 b=10.2284 c=3.1123 alpha=90.00 beta=90.00 gamma=90.00
Last column: nearest neighbours and their distance in Å.
Fractional coordinates of all 14 atoms:
Cr: 0.1950 0.1066 0.0000  2 O 1.60-1.76
Cr: 0.3050 0.6066 0.0000  2 O 1.60-1.76
Cr: 0.6950 0.3934 0.0000  2 O 1.60-1.76
Cr: 0.8050 0.8934 0.0000  2 O 1.60-1.76
O: 0.0000 0.0000 0.0000  2 Cr 1.76
O: 0.1249 0.2550 0.0000  1 Cr 1.60
O: 0.1875 0.5733 0.5000  2 Cr 1.80
O: 0.3125 0.0733 0.5000  2 Cr 1.80
O: 0.3751 0.7550 0.0000  1 Cr 1.60
O: 0.5000 0.5000 0.0000  2 Cr 1.76
O: 0.6249 0.2450 0.0000  1 Cr 1.60
O: 0.6875 0.9267 0.5000  2 Cr 1.80
O: 0.8125 0.4267 0.5000  2 Cr 1.80
O: 0.8751 0.7450 0.0000  1 Cr 1.60

* D(E_F): 1.07 states/eV/f.u.

---

Most stable: arrangement one

---

Arrangement one

The following is a PBE with a Hubbard U calculation of a relaxed CrP2OsO crystal, from the Alexandria database.

Unit cell a=4.6736 b=4.6736 c=3.3868 alpha=90.00 beta=90.00 gamma=90.00
Last column: nearest neighbours and their distance in Å.
Fractional coordinates of all 5 atoms:
Cr: 0.0000 0.0000 0.0000  2 O 1.69
P: 0.0000 0.5000 0.0000  2 Cr 2.34
P: 0.5000 0.0000 0.0000  2 Cr 2.34
Os: 0.5000 0.5000 0.5000  8 P 2.89
O: 0.0000 0.0000 0.5000  2 Cr 1.69

* D(E_F): 3.89 states/eV/f.u.

---

Arrangement two

The following is a PBE with a Hubbard U calculation of a relaxed CrP2OsO crystal, from the Alexandria database.

Unit cell a=4.7926 b=4.7926 c=3.6846 alpha=90.00 beta=90.00 gamma=90.00
Last column: nearest neighbours and their distance in Å.
Fractional coordinates of all 5 atoms:
Cr: 0.0000 0.0000 0.0000  8 P 3.02
P: 0.0000 0.5000 0.5000  2 Os 2.40
P: 0.5000 0.0000 0.5000  2 Os 2.40
Os: 0.5000 0.5000 0.5000  2 O 1.84
O: 0.5000 0.5000 0.0000  2 Os 1.84

* D(E_F): 2.74 states/eV/f.u.

---

Most stable: arrangement two

---

Arrangement one

The following is a PBE with a Hubbard U calculation of a relaxed Cr2P2O7 crystal, from the Alexandria database.

Unit cell a=11.0975 b=11.0975 c=9.4285 alpha=95.99 beta=95.99 gamma=45.25
Last column: nearest neighbours and their distance in Å.
Fractional coordinates of all 66 atoms:
Cr: 0.1314 0.5112 0.3096  4 O 2.01-2.10
Cr: 0.1506 0.5209 0.8387  4 O 2.07-2.14
Cr: 0.1784 0.8009 0.9765  4 O 2.03-2.13
Cr: 0.1991 0.8216 0.5235  4 O 2.03-2.13
Cr: 0.4791 0.8494 0.6613  4 O 2.07-2.14
Cr: 0.4888 0.8686 0.1904  4 O 2.01-2.10
Cr: 0.5112 0.1314 0.8096  4 O 2.01-2.10
Cr: 0.5209 0.1506 0.3387  4 O 2.07-2.14
Cr: 0.8009 0.1784 0.4765  4 O 2.03-2.13
Cr: 0.8216 0.1991 0.0235  4 O 2.03-2.13
Cr: 0.8494 0.4791 0.1613  4 O 2.07-2.14
Cr: 0.8686 0.4888 0.6904  4 O 2.01-2.10
P: 0.0929 0.1193 0.3236  4 O 1.50-1.62
P: 0.1193 0.0929 0.8236  4 O 1.50-1.62
P: 0.2175 0.2491 0.5317  4 O 1.52-1.61
P: 0.2491 0.2175 0.0317  4 O 1.52-1.61
P: 0.4182 0.4560 0.1469  4 O 1.51-1.62
P: 0.4560 0.4182 0.6469  4 O 1.51-1.62
P: 0.5440 0.5818 0.3531  4 O 1.51-1.62
P: 0.5818 0.5440 0.8531  4 O 1.51-1.62
P: 0.7509 0.7825 0.9683  4 O 1.52-1.61
P: 0.7825 0.7509 0.4683  4 O 1.52-1.61
P: 0.8807 0.9071 0.1764  4 O 1.50-1.62
P: 0.9071 0.8807 0.6764  4 O 1.50-1.62
O: 0.0206 0.7362 0.2396  1 P 1.50
O: 0.0429 0.0473 0.4074  1 P 1.56
O: 0.0473 0.0429 0.9074  1 P 1.56
O: 0.0493 0.7540 0.7841  1 P 1.53
O: 0.0872 0.3684 0.1069  1 P 1.52
O: 0.0943 0.4017 0.6341  1 P 1.53
O: 0.0983 0.2307 0.4442  2 P 1.61-1.62
O: 0.2307 0.0983 0.9442  2 P 1.61-1.62
O: 0.2460 0.9507 0.7159  1 P 1.53
O: 0.2638 0.9794 0.2604  1 P 1.50
O: 0.2753 0.5722 0.0349  1 P 1.53
O: 0.2798 0.2891 0.4225  1 P 1.55
O: 0.2891 0.2798 0.9225  1 P 1.55
O: 0.3117 0.5910 0.5873  1 P 1.51
O: 0.3684 0.0872 0.6069  1 P 1.52
O: 0.3706 0.3889 0.2420  1 P 1.56
O: 0.3889 0.3706 0.7420  1 P 1.56
O: 0.4017 0.0943 0.1341  1 P 1.53
O: 0.4090 0.6883 0.9127  1 P 1.51
O: 0.4152 0.5848 0.2500  2 P 1.62
O: 0.4278 0.7247 0.4651  1 P 1.53
O: 0.5722 0.2753 0.5349  1 P 1.53
O: 0.5848 0.4152 0.7500  2 P 1.62
O: 0.5910 0.3117 0.0873  1 P 1.51
O: 0.5983 0.9057 0.8659  1 P 1.53
O: 0.6111 0.6294 0.2580  1 P 1.56
O: 0.6294 0.6111 0.7580  1 P 1.56
O: 0.6316 0.9128 0.3931  1 P 1.52
O: 0.6883 0.4090 0.4127  1 P 1.51
O: 0.7109 0.7202 0.0775  1 P 1.55
O: 0.7202 0.7109 0.5775  1 P 1.55
O: 0.7247 0.4278 0.9651  1 P 1.53
O: 0.7362 0.0206 0.7396  1 P 1.50
O: 0.7540 0.0493 0.2841  1 P 1.53
O: 0.7693 0.9017 0.0558  2 P 1.61-1.62
O: 0.9017 0.7693 0.5558  2 P 1.61-1.62
O: 0.9057 0.5983 0.3659  1 P 1.53
O: 0.9128 0.6316 0.8931  1 P 1.52
O: 0.9507 0.2460 0.2159  1 P 1.53
O: 0.9527 0.9571 0.0926  1 P 1.56
O: 0.9571 0.9527 0.5926  1 P 1.56
O: 0.9794 0.2638 0.7604  1 P 1.50

* D(E_F): 0.00 states/eV/f.u.

---

Arrangement two

The following is a PBE with a Hubbard U calculation of a relaxed Cr2P2O7 crystal, from the Alexandria database.

Unit cell a=5.5596 b=5.5596 c=4.6524 alpha=101.36 beta=101.36 gamma=101.02
Last column: nearest neighbours and their distance in Å.
Fractional coordinates of all 11 atoms:
Cr: 0.1893 0.8107 0.0000  4 O 2.06-2.11
Cr: 0.8107 0.1893 0.0000  4 O 2.06-2.11
P: 0.2999 0.2999 0.5890  4 O 1.52-1.59
P: 0.7001 0.7001 0.4110  4 O 1.52-1.59
O: 0.1312 0.1312 0.2818  1 P 1.55
O: 0.1473 0.4441 0.7671  1 P 1.52
O: 0.4441 0.1473 0.7671  1 P 1.52
O: 0.5000 0.5000 0.5000  2 P 1.59
O: 0.5559 0.8527 0.2329  1 P 1.52
O: 0.8527 0.5559 0.2329  1 P 1.52
O: 0.8688 0.8688 0.7182  1 P 1.55

* D(E_F): 0.00 states/eV/f.u.

---

Most stable: arrangement one

---

Arrangement one

The following is a PBE with a Hubbard U calculation of a relaxed CrP2O2 crystal, from the Alexandria database.

Unit cell a=3.8809 b=3.8809 c=4.1098 alpha=90.00 beta=90.00 gamma=90.00
Last column: nearest neighbours and their distance in Å.
Fractional coordinates of all 5 atoms:
Cr: 0.0000 0.0000 0.0000  4 O 2.74, 8 P 2.83
P: 0.0000 0.5000 0.5000  2 O 1.94
P: 0.5000 0.0000 0.5000  2 O 1.94
O: 0.5000 0.5000 0.0000  2 O 2.05
O: 0.5000 0.5000 0.5000  4 P 1.94, 2 O 2.05

* D(E_F): 1.81 states/eV/f.u.

---

Arrangement two

The following is a PBE with a Hubbard U calculation of a relaxed CrP2O2 crystal, from the Alexandria database.

Unit cell a=3.4844 b=3.4844 c=4.9983 alpha=90.00 beta=90.00 gamma=90.00
Last column: nearest neighbours and their distance in Å.
Fractional coordinates of all 5 atoms:
Cr: 0.0000 0.0000 0.0000  4 P 2.46
P: 0.5000 0.5000 0.0000  4 Cr 2.46, 2 P 2.50
P: 0.5000 0.5000 0.5000  4 O 1.74
O: 0.0000 0.5000 0.5000  2 P 1.74
O: 0.5000 0.0000 0.5000  2 P 1.74

* D(E_F): 1.88 states/eV/f.u.

---

Arrangement three

The following is a PBE with a Hubbard U calculation of a relaxed CrP2O2 crystal, from the Alexandria database.

Unit cell a=3.5928 b=3.5928 c=5.5953 alpha=90.00 beta=90.00 gamma=90.00
Last column: nearest neighbours and their distance in Å.
Fractional coordinates of all 5 atoms:
Cr: 0.0000 0.0000 0.0000  4 O 1.80
P: 0.0000 0.0000 0.5000  4 P 2.54, 2 Cr 2.80
P: 0.5000 0.5000 0.5000  4 P 2.54
O: 0.0000 0.5000 0.0000  2 Cr 1.80
O: 0.5000 0.0000 0.0000  2 Cr 1.80

* D(E_F): 2.76 states/eV/f.u.

---

Most stable: arrangement two

---

Arrangement one

The following is a PBE with a Hubbard U calculation of a relaxed CrP3O9 crystal, from the Alexandria database.

Unit cell a=8.4392 b=8.4800 c=9.1768 alpha=90.00 beta=90.00 gamma=90.00
Last column: nearest neighbours and their distance in Å.
Fractional coordinates of all 52 atoms:
Cr: 0.1249 0.0975 0.1382  6 O 1.97-2.08
Cr: 0.3751 0.9025 0.6382  6 O 1.97-2.08
Cr: 0.6249 0.4025 0.8618  6 O 1.97-2.08
Cr: 0.8751 0.5975 0.3618  6 O 1.97-2.08
P: 0.0701 0.7273 0.0822  4 O 1.50-1.61
P: 0.0725 0.9469 0.8362  4 O 1.50-1.62
P: 0.2148 0.5601 0.5546  4 O 1.50-1.63
P: 0.2852 0.4399 0.0546  4 O 1.50-1.63
P: 0.4275 0.0531 0.3362  4 O 1.50-1.62
P: 0.4299 0.2727 0.5822  4 O 1.50-1.61
P: 0.5701 0.7727 0.9178  4 O 1.50-1.61
P: 0.5725 0.5531 0.1638  4 O 1.50-1.62
P: 0.7148 0.9399 0.4454  4 O 1.50-1.63
P: 0.7852 0.0601 0.9454  4 O 1.50-1.63
P: 0.9275 0.4469 0.6638  4 O 1.50-1.62
P: 0.9299 0.2273 0.4178  4 O 1.50-1.61
O: 0.0190 0.7885 0.9224  2 P 1.61-1.62
O: 0.0638 0.1374 0.3492  1 P 1.50
O: 0.0988 0.5256 0.6932  2 P 1.61-1.63
O: 0.1125 0.5935 0.4231  1 P 1.51
O: 0.1356 0.8633 0.1685  1 P 1.50
O: 0.1415 0.9029 0.6912  1 P 1.50
O: 0.1559 0.3293 0.0993  1 P 1.50
O: 0.1712 0.0531 0.9318  1 P 1.51
O: 0.2079 0.6103 0.0309  2 P 1.60
O: 0.2921 0.3897 0.5309  2 P 1.60
O: 0.3288 0.9469 0.4318  1 P 1.51
O: 0.3441 0.6707 0.5993  1 P 1.50
O: 0.3585 0.0971 0.1912  1 P 1.50
O: 0.3644 0.1367 0.6685  1 P 1.50
O: 0.3875 0.4065 0.9231  1 P 1.51
O: 0.4012 0.4744 0.1932  2 P 1.61-1.63
O: 0.4362 0.8626 0.8492  1 P 1.50
O: 0.4810 0.2115 0.4224  2 P 1.61-1.62
O: 0.5190 0.7115 0.0776  2 P 1.61-1.62
O: 0.5638 0.3626 0.6508  1 P 1.50
O: 0.5988 0.9744 0.3068  2 P 1.61-1.63
O: 0.6125 0.9065 0.5769  1 P 1.51
O: 0.6356 0.6367 0.8315  1 P 1.50
O: 0.6415 0.5971 0.3088  1 P 1.50
O: 0.6559 0.1707 0.9007  1 P 1.50
O: 0.6712 0.4469 0.0682  1 P 1.51
O: 0.7079 0.8897 0.9691  2 P 1.60
O: 0.7921 0.1103 0.4691  2 P 1.60
O: 0.8288 0.5531 0.5682  1 P 1.51
O: 0.8441 0.8293 0.4007  1 P 1.50
O: 0.8585 0.4029 0.8088  1 P 1.50
O: 0.8644 0.3633 0.3315  1 P 1.50
O: 0.8875 0.0935 0.0769  1 P 1.51
O: 0.9012 0.0256 0.8068  2 P 1.61-1.63
O: 0.9362 0.6374 0.1508  1 P 1.50
O: 0.9810 0.2885 0.5776  2 P 1.61-1.62

* D(E_F): 0.00 states/eV/f.u.

---

Arrangement two

The following is a PBE with a Hubbard U calculation of a relaxed CrP3O9 crystal, from the Alexandria database.

Unit cell a=7.4182 b=7.4182 c=9.5218 alpha=122.10 beta=122.10 gamma=52.31
Last column: nearest neighbours and their distance in Å.
Fractional coordinates of all 26 atoms:
Cr: 0.0000 0.5000 0.0000  6 O 1.99-2.02
Cr: 0.5000 0.0000 0.5000  6 O 1.99-2.02
P: 0.0481 0.9519 0.7500  4 O 1.50-1.59
P: 0.2915 0.4821 0.8227  4 O 1.50-1.59
P: 0.4821 0.2915 0.3227  4 O 1.50-1.59
P: 0.5179 0.7085 0.6773  4 O 1.50-1.59
P: 0.7085 0.5179 0.1773  4 O 1.50-1.59
P: 0.9519 0.0481 0.2500  4 O 1.50-1.59
O: 0.0347 0.1719 0.9044  1 P 1.50
O: 0.1375 0.7544 0.8255  2 P 1.59
O: 0.1450 0.4145 0.8321  1 P 1.50
O: 0.1719 0.0347 0.4044  1 P 1.50
O: 0.2456 0.8625 0.6745  2 P 1.59
O: 0.3307 0.3883 0.1712  1 P 1.50
O: 0.3883 0.3307 0.6712  1 P 1.50
O: 0.4145 0.1450 0.3321  1 P 1.50
O: 0.5000 0.5000 0.0000  2 P 1.58
O: 0.5000 0.5000 0.5000  2 P 1.58
O: 0.5855 0.8550 0.6679  1 P 1.50
O: 0.6117 0.6693 0.3288  1 P 1.50
O: 0.6693 0.6117 0.8288  1 P 1.50
O: 0.7544 0.1375 0.3255  2 P 1.59
O: 0.8281 0.9653 0.5956  1 P 1.50
O: 0.8550 0.5855 0.1679  1 P 1.50
O: 0.8625 0.2456 0.1745  2 P 1.59
O: 0.9653 0.8281 0.0956  1 P 1.50

* D(E_F): 0.00 states/eV/f.u.

---

Most stable: arrangement two